Record 1
BaReSi, optimized geometry, DFT PBEsol; total DFT energy (no corrections) = -6.869 eV per atom; theoretical density = 9.01 Mg/m³; E_form (uncorrected) = 0.207 eV per atom
1.0
3.310 0.000 0.000
0.000 3.310 0.000
0.000 0.000 11.832
Ba Re Si
2 2 2
Direct
0.000 0.000 0.000
0.500 0.500 0.500
0.000 0.000 0.285
0.500 0.500 0.785
0.000 0.000 0.723
0.500 0.500 0.223

Record 2
BaReSi2, optimized geometry, DFT PBEsol; total DFT energy (no corrections) = -6.819 eV per atom; theoretical density = 7.45 Mg/m³; E_form (uncorrected) = -0.075 eV per atom
1.0
8.154 0.000 0.000
0.000 3.163 0.000
-3.373 0.000 6.564
Ba Re Si
2 2 4
Direct
0.000 0.000 0.000
0.500 0.500 0.000
0.222 0.000 0.523
0.722 0.500 0.523
0.064 0.500 0.646
0.369 0.500 0.370
0.564 0.000 0.646
0.869 0.000 0.370

Record 3
BaReSi2, optimized geometry, DFT PBEsol; total DFT energy (no corrections) = -6.922 eV per atom; theoretical density = 7.17 Mg/m³; E_form (uncorrected) = -0.178 eV per atom
1.0
4.168 0.000 0.000
-2.084 3.609 0.000
0.000 0.000 17.542
Ba Re Si
3 3 6
Direct
0.000 0.000 0.000
0.333 0.667 0.667
0.667 0.333 0.333
0.000 0.000 0.500
0.333 0.667 0.167
0.667 0.333 0.833
0.000 0.000 0.199
0.000 0.000 0.801
0.333 0.667 0.468
0.333 0.667 0.866
0.667 0.333 0.134
0.667 0.333 0.532

Record 4
Ba2ZnReSi, optimized geometry, DFT PBEsol; total DFT energy (no corrections) = -3.875 eV per atom; theoretical density = 5.77 Mg/m³; E_form (uncorrected) = 1.117 eV per atom
1.0
6.100 0.000 0.000
0.000 6.100 0.000
0.000 0.000 4.288
Ba Zn Re Si
2 1 1 1
Direct
0.000 0.500 0.000
0.500 0.000 0.000
0.000 0.000 0.000
0.500 0.500 0.500
0.000 0.000 0.500

Which value of theoretical density does entry 1 give?
9.01 Mg/m³

What is the total DFT energy (no corrections) in the first record?
-6.869 eV per atom

What is the formula in the third record?
BaReSi2